[1]
Sm3ErTm: relaxed, GGA-PBE.

Output
The calculation puts the energy relative to the lowest polymorph listed for this composition at 0.287 eV per atom. The size of the total moment is 0.00 μB per formula unit. Its raw total energy is -4.33 eV per atom. The calculation puts the density of states at the Fermi level at 1.7553 states/eV/atom. The calculation puts the formation energy at 0.30 eV per atom.

Unit cell a=3.6158 b=11.6916 c=8.5227 alpha=90.00 beta=102.22 gamma=90.00
Space group P2_1/m (No. 11)
One atom of each set of equivalent atoms:
Sm: 0.1483 0.0017 0.2951 [4 per cell]
Sm: 0.3102 0.2500 0.6203 [2 per cell]
Er: 0.3520 0.7500 0.7050 [2 per cell]
Tm: 0.0160 0.7500 0.0337 [2 per cell]

=====

[2]
SmEr5Tm4: relaxed, GGA-PBE.

Output
The calculation puts the energy relative to the lowest polymorph listed for this composition at 0.000 eV per atom. The size of the total moment is 0.00 μB per formula unit. Its raw total energy is -4.49 eV per atom. The calculation puts the density of states at the Fermi level at 1.7086 states/eV/atom. The calculation puts the formation energy at 0.05 eV per atom.

Unit cell a=5.3623 b=6.9555 c=8.6624 alpha=89.98 beta=72.05 gamma=89.95
Space group P1 (No. 1)
One atom of each set of equivalent atoms:
Sm: 0.0000 0.0000 0.0000 [1 per cell]
Er: 0.9997 0.4992 0.0006 [1 per cell]
Er: 0.1997 0.4994 0.6012 [1 per cell]
Er: 0.3891 0.7476 0.2212 [1 per cell]
Er: 0.6105 0.7483 0.7793 [1 per cell]
Er: 0.7993 0.9995 0.4009 [1 per cell]
Tm: 0.2004 0.0002 0.5997 [1 per cell]
Tm: 0.3891 0.2509 0.2213 [1 per cell]
Tm: 0.6108 0.2510 0.7792 [1 per cell]
Tm: 0.8001 0.4986 0.3994 [1 per cell]

=====

[3]
Sm2Er3Tm9: relaxed, GGA-PBE.

Output
The size of the total moment is 0.00 μB per formula unit. Its raw total energy is -4.44 eV per atom. The calculation puts the density of states at the Fermi level at 1.6188 states/eV/atom. The calculation puts the formation energy at 0.09 eV per atom.

Unit cell a=6.3259 b=8.3138 c=8.7973 alpha=87.06 beta=82.78 gamma=70.85
Space group P1 (No. 1)
One atom of each set of equivalent atoms:
Sm: 0.0000 0.0000 0.0000 [1 per cell]
Sm: 0.1527 0.6452 0.1969 [1 per cell]
Er: 0.4717 0.0305 0.7866 [1 per cell]
Er: 0.6289 0.3480 0.1670 [1 per cell]
Er: 0.8031 0.5486 0.4493 [1 per cell]
Tm: 0.0868 0.3829 0.9457 [1 per cell]
Tm: 0.1922 0.1748 0.2817 [1 per cell]
Tm: 0.3131 0.8239 0.4994 [1 per cell]
Tm: 0.3483 0.3907 0.5420 [1 per cell]
Tm: 0.5094 0.5803 0.8258 [1 per cell]
Tm: 0.6054 0.7868 0.1201 [1 per cell]
Tm: 0.7567 0.9835 0.4113 [1 per cell]
Tm: 0.9228 0.1974 0.6626 [1 per cell]
Tm: 0.9530 0.7341 0.7456 [1 per cell]

=====

[4]
SmErTm5: relaxed, GGA-PBE.

Output
The calculation puts the energy relative to the lowest polymorph listed for this composition at 0.000 eV per atom. The size of the total moment is 0.00 μB per formula unit. Its raw total energy is -4.45 eV per atom. The calculation puts the density of states at the Fermi level at 1.4928 states/eV/atom. The calculation puts the formation energy at 0.07 eV per atom.

Unit cell a=9.1524 b=3.5618 c=13.6698 alpha=90.00 beta=103.09 gamma=90.00
Space group P2_1/m (No. 11)
One atom of each set of equivalent atoms:
Sm: 0.1050 0.2500 0.1256 [2 per cell]
Er: 0.3460 0.7500 0.3067 [2 per cell]
Tm: 0.0000 0.2500 0.6269 [2 per cell]
Tm: 0.2057 0.2500 0.8828 [2 per cell]
Tm: 0.3230 0.2500 0.5098 [2 per cell]
Tm: 0.3495 0.7500 0.7243 [2 per cell]
Tm: 0.4160 0.7500 0.0793 [2 per cell]

=====

[5]
SmEr3Tm6: relaxed, GGA-PBE.

Output
The calculation puts the energy relative to the lowest polymorph listed for this composition at 0.145 eV per atom. The size of the total moment is 0.01 μB per formula unit. Its raw total energy is -4.23 eV per atom. The calculation puts the density of states at the Fermi level at 1.9170 states/eV/atom. The calculation puts the formation energy at 0.29 eV per atom.

Unit cell a=9.6757 b=9.6757 c=11.6117 alpha=90.00 beta=90.00 gamma=120.00
Space group R3 (No. 146, hexagonal axes)
One atom of each set of equivalent atoms:
Sm: 0.0000 0.0000 0.0000 [3 per cell]
Er: 0.0000 0.0000 0.2587 [3 per cell]
Er: 0.0000 0.0000 0.5027 [3 per cell]
Er: 0.0000 0.0000 0.7551 [3 per cell]
Tm: 0.0023 0.6647 0.8223 [9 per cell]
Tm: 0.0052 0.3379 0.3230 [9 per cell]

=====

[6]
Sm3ErTm3: relaxed, GGA-PBE.

Output
The calculation puts the energy relative to the lowest polymorph listed for this composition at 0.000 eV per atom. The size of the total moment is 0.00 μB per formula unit. Its raw total energy is -4.58 eV per atom. The calculation puts the density of states at the Fermi level at 1.8812 states/eV/atom. The calculation puts the formation energy at 0.02 eV per atom.

Unit cell a=9.5400 b=9.5400 c=5.6779 alpha=90.00 beta=90.00 gamma=120.00
Space group P6_3/m (No. 176)
One atom of each set of equivalent atoms:
Sm: 0.0487 0.2424 0.2500 [6 per cell]
Er: 0.3333 0.6667 0.2500 [2 per cell]
Tm: 0.0951 0.4782 0.7500 [6 per cell]

=====

[7]
SmEr5Tm3: relaxed, GGA-PBE.

Output
The size of the total moment is 0.00 μB per formula unit. Its raw total energy is -4.42 eV per atom. The calculation puts the density of states at the Fermi level at 1.2726 states/eV/atom. The calculation puts the formation energy at 0.13 eV per atom.

Unit cell a=7.1435 b=17.2004 c=9.1496 alpha=90.00 beta=90.00 gamma=90.00
Space group Imma (No. 74)
One atom of each set of equivalent atoms:
Sm: 0.0000 0.2500 0.0480 [4 per cell]
Er: 0.0000 0.2500 0.4106 [4 per cell]
Er: 0.2476 0.0861 0.0703 [16 per cell]
Tm: 0.0000 0.0656 0.7479 [8 per cell]
Tm: 0.2500 0.2500 0.7500 [4 per cell]

=====

[8]
Sm2ErTm: relaxed, GGA-PBE.

Output
The calculation puts the energy relative to the lowest polymorph listed for this composition at 0.008 eV per atom. The size of the total moment is 0.00 μB per formula unit. Its raw total energy is -4.59 eV per atom. The calculation puts the density of states at the Fermi level at 1.5732 states/eV/atom. The calculation puts the formation energy at 0.02 eV per atom.

Unit cell a=5.0586 b=5.0586 c=4.9938 alpha=90.00 beta=90.00 gamma=90.00
Space group P4/mmm (No. 123)
One atom of each set of equivalent atoms:
Sm: 0.0000 0.5000 0.0000 [2 per cell]
Er: 0.0000 0.0000 0.5000 [1 per cell]
Tm: 0.5000 0.5000 0.5000 [1 per cell]

=====

[9]
SmEr8Tm2: relaxed, GGA-PBE.

Output
The calculation puts the energy relative to the lowest polymorph listed for this composition at 0.039 eV per atom. The size of the total moment is 0.00 μB per formula unit. Its raw total energy is -4.40 eV per atom. The calculation puts the density of states at the Fermi level at 1.3582 states/eV/atom. The calculation puts the formation energy at 0.16 eV per atom.

Unit cell a=9.1881 b=16.9007 c=5.8726 alpha=90.00 beta=129.69 gamma=90.00
Space group C2/m (No. 12)
One atom of each set of equivalent atoms:
Sm: 0.0000 0.0000 0.0000 [2 per cell]
Er: 0.0000 0.2011 0.0000 [4 per cell]
Er: 0.0015 0.5000 0.7427 [4 per cell]
Er: 0.2288 0.1310 0.7281 [8 per cell]
Tm: 0.0000 0.3117 0.5000 [4 per cell]

=====

[10]
Sm2Er3Tm6: relaxed, GGA-PBE.

Output
The calculation puts the energy relative to the lowest polymorph listed for this composition at 0.000 eV per atom. The size of the total moment is 0.00 μB per formula unit. Its raw total energy is -4.35 eV per atom. The calculation puts the density of states at the Fermi level at 1.6742 states/eV/atom. The calculation puts the formation energy at 0.19 eV per atom.

Unit cell a=6.0326 b=10.4643 c=11.5542 alpha=90.00 beta=100.11 gamma=90.00
Space group C2/m (No. 12)
One atom of each set of equivalent atoms:
Sm: 0.0000 0.1665 0.0000 [4 per cell]
Er: 0.0000 0.0000 0.5000 [2 per cell]
Er: 0.0000 0.3349 0.5000 [4 per cell]
Tm: 0.2492 0.1668 0.7472 [8 per cell]
Tm: 0.2505 0.0000 0.2526 [4 per cell]

=====

[11]
Sm4ErTm6: relaxed, GGA-PBE.

Output
The calculation puts the energy relative to the lowest polymorph listed for this composition at 0.129 eV per atom. The size of the total moment is 0.00 μB per formula unit. Its raw total energy is -4.27 eV per atom. The calculation puts the density of states at the Fermi level at 1.1914 states/eV/atom. The calculation puts the formation energy at 0.30 eV per atom.

Unit cell a=6.5721 b=6.5721 c=16.8741 alpha=90.00 beta=90.00 gamma=90.00
Space group I-42m (No. 121)
One atom of each set of equivalent atoms:
Sm: 0.1885 0.1885 0.3252 [8 per cell]
Er: 0.0000 0.0000 0.5000 [2 per cell]
Tm: 0.0000 0.5000 0.0000 [4 per cell]
Tm: 0.1785 0.1785 0.1263 [8 per cell]

=====

[12]
Sm4Er6Tm19: relaxed, GGA-PBE.

Output
The size of the total moment is 0.01 μB per formula unit. Its raw total energy is -4.12 eV per atom. The calculation puts the density of states at the Fermi level at 1.5329 states/eV/atom. The calculation puts the formation energy at 0.40 eV per atom.

Unit cell a=12.3475 b=12.3475 c=12.3475 alpha=90.00 beta=90.00 gamma=90.00
Space group I23 (No. 197)
One atom of each set of equivalent atoms:
Sm: 0.1787 0.1787 0.1787 [8 per cell]
Er: 0.0000 0.1286 0.5000 [12 per cell]
Tm: 0.0000 0.0000 0.0000 [2 per cell]
Tm: 0.0000 0.0000 0.2635 [12 per cell]
Tm: 0.0634 0.2748 0.7366 [24 per cell]

=====

[13]
Sm12Er2Tm5: relaxed, GGA-PBE.

Output
The calculation puts the energy relative to the lowest polymorph listed for this composition at 0.000 eV per atom. The size of the total moment is 0.00 μB per formula unit. Its raw total energy is -4.51 eV per atom. The calculation puts the density of states at the Fermi level at 1.4125 states/eV/atom. The calculation puts the formation energy at 0.12 eV per atom.

Unit cell a=15.8027 b=9.2111 c=8.6207 alpha=90.00 beta=91.32 gamma=90.00
Space group C2/m (No. 12)
One atom of each set of equivalent atoms:
Sm: 0.0614 0.0000 0.3400 [4 per cell]
Sm: 0.0885 0.5000 0.8845 [4 per cell]
Sm: 0.1267 0.1951 0.6712 [8 per cell]
Sm: 0.1536 0.3178 0.2377 [8 per cell]
Er: 0.0000 0.1732 0.0000 [4 per cell]
Tm: 0.0000 0.5000 0.5000 [2 per cell]
Tm: 0.1988 0.0000 0.0199 [4 per cell]
Tm: 0.2309 0.5000 0.5694 [4 per cell]

=====

[14]
Sm3Er3Tm5: relaxed, GGA-PBE.

Output
The size of the total moment is 0.00 μB per formula unit. Its raw total energy is -3.73 eV per atom. The calculation puts the density of states at the Fermi level at 1.4327 states/eV/atom. The calculation puts the formation energy at 0.84 eV per atom.

Unit cell a=9.5901 b=9.5901 c=5.3994 alpha=90.00 beta=90.00 gamma=120.00
Space group P-62m (No. 189)
One atom of each set of equivalent atoms:
Sm: 0.0000 0.6308 0.0000 [3 per cell]
Er: 0.0000 0.4465 0.5000 [3 per cell]
Tm: 0.0000 0.2630 0.0000 [3 per cell]
Tm: 0.3333 0.6667 0.0000 [2 per cell]

=====

[15]
Sm7ErTm3: relaxed, GGA-PBE.

Output
The calculation puts the energy relative to the lowest polymorph listed for this composition at 0.000 eV per atom. The size of the total moment is 0.00 μB per formula unit. Its raw total energy is -4.51 eV per atom. The calculation puts the density of states at the Fermi level at 1.4649 states/eV/atom. The calculation puts the formation energy at 0.12 eV per atom.

Unit cell a=7.0344 b=5.5849 c=9.9370 alpha=90.00 beta=110.58 gamma=90.00
Space group P2/m (No. 10)
One atom of each set of equivalent atoms:
Sm: 0.0000 0.0000 0.0000 [1 per cell]
Sm: 0.1466 0.5000 0.2923 [2 per cell]
Sm: 0.3206 0.5000 0.6403 [2 per cell]
Sm: 0.4162 0.0000 0.8295 [2 per cell]
Er: 0.0000 0.0000 0.5000 [1 per cell]
Tm: 0.2792 0.5000 0.9996 [2 per cell]
Tm: 0.5000 0.0000 0.5000 [1 per cell]

=====

[16]
Sm8Er4Tm3: relaxed, GGA-PBE.

Output
The size of the total moment is 0.00 μB per formula unit. Its raw total energy is -4.27 eV per atom. The calculation puts the density of states at the Fermi level at 1.5125 states/eV/atom. The calculation puts the formation energy at 0.36 eV per atom.

Unit cell a=13.5491 b=12.0765 c=6.8217 alpha=90.00 beta=117.44 gamma=90.00
Space group C2/m (No. 12)
One atom of each set of equivalent atoms:
Sm: 0.0000 0.2042 0.0000 [4 per cell]
Sm: 0.0000 0.2529 0.5000 [4 per cell]
Sm: 0.2024 0.0000 0.1712 [4 per cell]
Sm: 0.2438 0.5000 0.2919 [4 per cell]
Er: 0.0000 0.5000 0.0000 [2 per cell]
Er: 0.0000 0.5000 0.5000 [2 per cell]
Er: 0.2500 0.2500 0.0000 [4 per cell]
Tm: 0.0000 0.0000 0.5000 [2 per cell]
Tm: 0.2500 0.2500 0.5000 [4 per cell]

=====

[17]
Sm3Er5Tm: relaxed, GGA-PBE.

Output
The calculation puts the energy relative to the lowest polymorph listed for this composition at 0.237 eV per atom. The size of the total moment is 0.00 μB per formula unit. Its raw total energy is -4.07 eV per atom. The calculation puts the density of states at the Fermi level at 1.3328 states/eV/atom. The calculation puts the formation energy at 0.54 eV per atom.

Unit cell a=15.1983 b=11.2636 c=9.9502 alpha=90.00 beta=130.60 gamma=90.00
Space group C2/m (No. 12)
One atom of each set of equivalent atoms:
Sm: 0.0000 0.0000 0.0000 [2 per cell]
Sm: 0.0000 0.5000 0.5000 [2 per cell]
Sm: 0.0094 0.0000 0.3081 [4 per cell]
Sm: 0.0237 0.5000 0.8647 [4 per cell]
Er: 0.0000 0.2408 0.5000 [4 per cell]
Er: 0.1583 0.2494 0.2512 [8 per cell]
Er: 0.2171 0.0000 0.7268 [4 per cell]
Er: 0.2214 0.5000 0.5341 [4 per cell]
Tm: 0.2487 0.5000 0.8957 [4 per cell]

=====

[18]
Sm2Er2Tm: relaxed, GGA-PBE.

Output
The calculation puts the energy relative to the lowest polymorph listed for this composition at 0.000 eV per atom. The size of the total moment is 0.00 μB per formula unit. Its raw total energy is -4.59 eV per atom. The calculation puts the density of states at the Fermi level at 1.6873 states/eV/atom. The calculation puts the formation energy at 0.01 eV per atom.

Unit cell a=15.6826 b=6.2616 c=6.7174 alpha=90.00 beta=103.53 gamma=90.00
Space group C2/c (No. 15)
One atom of each set of equivalent atoms:
Sm: 0.1009 0.0826 0.4460 [8 per cell]
Er: 0.1995 0.4177 0.1516 [8 per cell]
Tm: 0.0000 0.4159 0.7500 [4 per cell]

=====

[19]
Sm15Er2Tm2: relaxed, GGA-PBE.

Output
The size of the total moment is 0.00 μB per formula unit. Its raw total energy is -4.40 eV per atom. The calculation puts the density of states at the Fermi level at 1.7013 states/eV/atom. The calculation puts the formation energy at 0.28 eV per atom.

Unit cell a=11.1645 b=11.1645 c=18.0504 alpha=90.00 beta=90.00 gamma=120.00
Space group R-3m (No. 166, hexagonal axes)
One atom of each set of equivalent atoms:
Sm: 0.0000 0.2961 0.0000 [18 per cell]
Sm: 0.0000 0.5000 0.5000 [9 per cell]
Sm: 0.0220 0.5110 0.1320 [18 per cell]
Er: 0.0000 0.0000 0.3141 [6 per cell]
Tm: 0.0000 0.0000 0.0930 [6 per cell]